[1]
Ba2BeCrH: relaxed, PBEsol.

Results
* N(E_F): 2.72 states/eV/f.u.
* final energy: -3.553 eV/atom

a = 5.863 Å, b = 5.863 Å, c = 4.260 Å
α = 90.00°, β = 90.00°, γ = 90.00°
Space group P4/mmm (No. 123)
Unique sites:
Ba (0.000, 0.500, 0.000) (multiplicity 2)
Be (0.000, 0.000, 0.500) (multiplicity 1)
Cr (0.000, 0.000, 0.000) (multiplicity 1)
H (0.500, 0.500, 0.500) (multiplicity 1)

***

[2]
MgSbIr2: relaxed, PBEsol.

Results
* N(E_F): 3.77 states/eV/f.u.
* formation energy without anion corrections: 0.07 eV per atom
* final energy: -6.406 eV/atom

a = 2.989 Å, b = 2.989 Å, c = 7.965 Å
α = 90.00°, β = 90.00°, γ = 90.00°
Space group P4mm (No. 99)
Unique sites:
Mg (0.000, 0.000, 0.000) (multiplicity 1)
Sb (0.500, 0.500, 0.348) (multiplicity 1)
Ir (0.000, 0.000, 0.569) (multiplicity 1)
Ir (0.500, 0.500, 0.791) (multiplicity 1)

***

[3]
YCo2Cl: relaxed, PBEsol.

Results
* excess energy over the best structure of this formula in the dataset: 0 meV per atom
* N(E_F): 2.24 states/eV/f.u.
* formation energy without anion corrections: -0.39 eV per atom
* final energy: -6.464 eV/atom

a = 3.7321 Å, b = 3.7321 Å, c = 6.2786 Å
α = 90.00°, β = 90.00°, γ = 120.00°
Space group P3m1 (No. 156)
Unique sites:
Y (0.0000, 0.0000, 0.0000) (multiplicity 1)
Co (0.3333, 0.6667, 0.3412) (multiplicity 1)
Co (0.6667, 0.3333, 0.2596) (multiplicity 1)
Cl (0.3333, 0.6667, 0.7124) (multiplicity 1)

***

[4]
InPb2: relaxed, PBEsol.

Results
* calculated formation energy: 0.20 eV/f.u.
* N(E_F): 1.64 states/eV/f.u.
* final energy: -3.595 eV/atom

a = 5.5077 Å, b = 5.5077 Å, c = 3.2618 Å
α = 90.00°, β = 90.00°, γ = 120.00°
Space group P6/mmm (No. 191)
Unique sites:
In (0.0000, 0.0000, 0.0000) (multiplicity 1)
Pb (0.3333, 0.6667, 0.5000) (multiplicity 2)

***

[5]
Cu2OsAu: relaxed, PBEsol.

Results
* calculated formation energy: 1.59 eV/f.u.
* excess energy over the best structure of this formula in the dataset: 45 meV per atom
* N(E_F): 2.89 states/eV/f.u.
* final energy: -5.805 eV/atom

a = 2.622 Å, b = 4.517 Å, c = 9.113 Å
α = 90.00°, β = 90.00°, γ = 90.00°
Space group Imm2 (No. 44)
Unique sites:
Cu (0.000, 0.000, 0.000) (multiplicity 2)
Cu (0.000, 0.500, 0.270) (multiplicity 2)
Os (0.000, 0.500, 0.747) (multiplicity 2)
Au (0.000, 0.000, 0.517) (multiplicity 2)

***

[6]
LiCdRh2: relaxed, PBEsol.

Results
* calculated formation energy: -0.32 eV/f.u.
* N(E_F): 3.54 states/eV/f.u.
* final energy: -4.940 eV/atom

a = 8.966 Å, b = 2.754 Å, c = 4.746 Å
α = 90.00°, β = 100.09°, γ = 90.00°
Space group C2/m (No. 12)
Unique sites:
Li (0.000, 0.000, 0.000) (multiplicity 2)
Cd (0.000, 0.500, 0.500) (multiplicity 2)
Rh (0.247, 0.500, 0.232) (multiplicity 4)